# 1
DFT (GGA-PBE) results for a relaxed V2ZnRu crystal.

size of the total moment = 0.000 μB per formula unit
formation enthalpy at 0 K = 0.360 eV/atom
space-group type = I-42d

Cell: 5.5056 5.5056 5.5056 Å, 102.42 102.42 124.75°
Sites, in units of the cell vectors:
V1 0.0906 0.6250 0.9656
V2 0.3750 0.3406 0.4656
V3 0.6594 0.1250 0.0344
V4 0.8750 0.9094 0.5344
Zn1 0.2500 0.7500 0.5000
Zn2 0.5000 0.5000 0.0000
Ru1 0.0000 0.0000 0.0000
Ru2 0.7500 0.2500 0.5000


# 2
DFT (GGA-PBE) results for a relaxed Ac2Tl2Pb crystal.

size of the total moment = 0.000 μB per formula unit
formation enthalpy at 0 K = -0.387 eV/atom
space-group type = P4/mbm

Cell: 8.3470 8.3470 5.0271 Å, 90.00 90.00 90.00°
Sites, in units of the cell vectors:
Ac1 0.1697 0.3303 0.0000
Ac2 0.3303 0.8303 0.0000
Ac3 0.6697 0.1697 0.0000
Ac4 0.8303 0.6697 0.0000
Tl1 0.1316 0.6316 0.5000
Tl2 0.3684 0.1316 0.5000
Tl3 0.6316 0.8684 0.5000
Tl4 0.8684 0.3684 0.5000
Pb1 0.0000 0.0000 0.5000
Pb2 0.5000 0.5000 0.5000


- What is the formula in the first record?
  V2ZnRu